# 1
# Ti3ClO PBE relaxed
data_Ti3ClO
_cell_length_a 4.170
_cell_length_b 4.170
_cell_length_c 4.170
_cell_angle_alpha 90.00
_cell_angle_beta 90.00
_cell_angle_gamma 90.00
_symmetry_space_group_name_H-M 'P 1'
_symmetry_Int_Tables_number 1
_symmetry_space_group_name_Hall 'P 1'
loop_
_atom_site_label
_atom_site_fract_x
_atom_site_fract_y
_atom_site_fract_z
Cl1 0.500 0.500 0.500
Ti1 0.000 0.000 0.500
Ti2 0.500 0.000 0.000
Ti3 0.000 0.500 0.000
O1 0.000 0.000 0.000
# Energy above the most stable polymorph in this dataset = 0 meV per atom
# E = -6.75 eV per atom


# 2
# Ti2TlClO PBE relaxed
data_Ti2TlClO
_cell_length_a 5.390
_cell_length_b 5.299
_cell_length_c 5.390
_cell_angle_alpha 90.00
_cell_angle_beta 90.00
_cell_angle_gamma 90.00
_symmetry_space_group_name_H-M 'P 1'
_symmetry_Int_Tables_number 1
_symmetry_space_group_name_Hall 'P 1'
loop_
_atom_site_label
_atom_site_fract_x
_atom_site_fract_y
_atom_site_fract_z
Tl1 0.000 0.000 0.000
Ti1 0.000 0.000 0.500
Ti2 0.500 0.000 0.000
Cl1 0.000 0.500 0.000
O1 0.500 0.500 0.500
# E = -3.69 eV per atom


# 3
# YbTiClO3 PBE relaxed
data_YbTiClO3
_cell_length_a 5.310
_cell_length_b 5.310
_cell_length_c 9.978
_cell_angle_alpha 74.92
_cell_angle_beta 74.92
_cell_angle_gamma 42.85
_symmetry_space_group_name_H-M 'P 1'
_symmetry_Int_Tables_number 1
_symmetry_space_group_name_Hall 'P 1'
loop_
_atom_site_label
_atom_site_fract_x
_atom_site_fract_y
_atom_site_fract_z
Yb1 0.274 0.274 0.200
Yb2 0.726 0.726 0.800
O1 0.668 0.668 0.562
O2 0.077 0.077 0.377
O3 0.923 0.923 0.623
O4 0.849 0.849 0.254
O5 0.332 0.332 0.438
O6 0.151 0.151 0.746
Cl1 0.614 0.614 0.094
Cl2 0.386 0.386 0.906
Ti1 0.882 0.882 0.431
Ti2 0.118 0.118 0.569
# E = -7.08 eV per atom


# 4
# Tl2ClO PBE relaxed
data_Tl2ClO
_cell_length_a 3.942
_cell_length_b 3.942
_cell_length_c 7.982
_cell_angle_alpha 75.71
_cell_angle_beta 75.71
_cell_angle_gamma 60.00
_symmetry_space_group_name_H-M 'P 1'
_symmetry_Int_Tables_number 1
_symmetry_space_group_name_Hall 'P 1'
loop_
_atom_site_label
_atom_site_fract_x
_atom_site_fract_y
_atom_site_fract_z
Cl1 0.501 0.501 0.498
Tl1 0.251 0.251 0.247
Tl2 0.054 0.054 0.839
O1 0.695 0.695 0.916
# Energy above the most stable polymorph in this dataset = 116 meV per atom
# E = -3.49 eV per atom


# 5
# TlClO PBE relaxed
data_TlClO
_cell_length_a 6.225
_cell_length_b 6.225
_cell_length_c 6.494
_cell_angle_alpha 61.36
_cell_angle_beta 61.36
_cell_angle_gamma 60.00
_symmetry_space_group_name_H-M 'P 1'
_symmetry_Int_Tables_number 1
_symmetry_space_group_name_Hall 'P 1'
loop_
_atom_site_label
_atom_site_fract_x
_atom_site_fract_y
_atom_site_fract_z
Cl1 0.926 0.243 0.257
Cl2 0.574 0.926 0.257
Cl3 0.243 0.574 0.257
Tl1 0.686 0.686 0.942
Tl2 0.365 0.365 0.906
Tl3 0.114 0.114 0.659
O1 0.427 0.074 0.759
O2 0.074 0.741 0.759
O3 0.741 0.427 0.759
# E = -3.62 eV per atom


# 6
# Tl2ClO2 PBE relaxed
data_Tl2ClO2
_cell_length_a 4.252
_cell_length_b 4.252
_cell_length_c 6.902
_cell_angle_alpha 84.38
_cell_angle_beta 84.38
_cell_angle_gamma 90.66
_symmetry_space_group_name_H-M 'P 1'
_symmetry_Int_Tables_number 1
_symmetry_space_group_name_Hall 'P 1'
loop_
_atom_site_label
_atom_site_fract_x
_atom_site_fract_y
_atom_site_fract_z
Tl1 0.773 0.773 0.360
Tl2 0.227 0.227 0.640
O1 0.746 0.254 0.500
O2 0.254 0.746 0.500
Cl1 0.000 0.000 0.000
# E = -3.90 eV per atom


# 7
# Tl4ClO2 PBE relaxed
data_Tl4ClO2
_cell_length_a 5.931
_cell_length_b 5.931
_cell_length_c 8.581
_cell_angle_alpha 69.78
_cell_angle_beta 69.78
_cell_angle_gamma 90.00
_symmetry_space_group_name_H-M 'P 1'
_symmetry_Int_Tables_number 1
_symmetry_space_group_name_Hall 'P 1'
loop_
_atom_site_label
_atom_site_fract_x
_atom_site_fract_y
_atom_site_fract_z
O1 0.574 0.574 0.852
O2 0.426 0.426 0.148
Tl1 0.715 0.715 0.570
Tl2 0.000 0.500 0.000
Tl3 0.285 0.285 0.430
Tl4 0.500 0.000 0.000
Cl1 0.000 0.000 0.000
# Energy above the most stable polymorph in this dataset = 340 meV per atom
# E = -3.27 eV per atom


# 8
# Tl3ClO2 PBE relaxed
data_Tl3ClO2
_cell_length_a 6.110
_cell_length_b 8.982
_cell_length_c 8.982
_cell_angle_alpha 139.92
_cell_angle_beta 90.00
_cell_angle_gamma 90.00
_symmetry_space_group_name_H-M 'P 1'
_symmetry_Int_Tables_number 1
_symmetry_space_group_name_Hall 'P 1'
loop_
_atom_site_label
_atom_site_fract_x
_atom_site_fract_y
_atom_site_fract_z
Tl1 0.912 0.519 0.867
Tl2 0.412 0.481 0.133
Tl3 0.412 0.133 0.481
Tl4 0.023 0.300 0.300
Tl5 0.523 0.700 0.700
Tl6 0.912 0.867 0.519
O1 0.538 0.550 0.786
O2 0.038 0.450 0.214
O3 0.038 0.214 0.450
O4 0.538 0.786 0.550
Cl1 0.035 0.815 0.815
Cl2 0.535 0.185 0.185
# E = -3.79 eV per atom


Taking the records one at a time from the top gives ΔE_f (raw) values of -0.65; 1.31; -2.73; -0.60; -0.57; -0.60; -0.24; -0.64 eV/atom.
Taking the records one at a time from the top gives total magnetization values of 1.53; 3.21; 2.11; 0.00; 0.00; 0.00; 1.04; 0.00 μB/cell.